Density functional theory data (PBE) for crystalline HfMnBeV at its relaxed geometry.

abc: 4.2506 4.2506 4.2506
angles: 60.00 60.00 60.00
Sites, in units of the cell vectors:
V1 0.7500 0.7500 0.7500
Mn1 0.0000 0.0000 0.0000
Be1 0.5000 0.5000 0.5000
Hf1 0.2500 0.2500 0.2500

Calculated values
Uncorrected energy (eV/atom): -8.003
Density of states at the Fermi level (states/eV/f.u.): 1.63
Symmetry: F-43m, No. 216
Formation energy from the elements (meV/atom): -10.7